DFT (PBE-GGA) results for a relaxed structure of SrHo3Hg4.

Calculated values
ΔE_f: -0.469 eV/atom
Energy: -2.547 eV/atom
Space group: P4/mmm (123)
Crystal system: tetragonal

POSCAR file:
```
SrHo3Hg4
1.0
5.305 0.000 0.000
0.000 5.305 0.000
0.000 0.000 7.610
Sr Ho Hg
1 3 4
direct
0.000 0.000 0.000
0.000 0.000 0.500
0.500 0.500 0.000
0.500 0.500 0.500
0.000 0.500 0.266
0.000 0.500 0.734
0.500 0.000 0.266
0.500 0.000 0.734
```

=====

DFT (PBE-GGA) results for a relaxed structure of Sr4PbN.

Calculated values
Relative energy among the computed polymorphs: 0.0 meV per atom
Energy: -3.564 eV/atom
Space group: C2/m (12)
Crystal system: monoclinic
Uncorrected formation energy: -0.4372 eV per atom

POSCAR file:
```
Sr4PbN
1.0
8.864 -3.754 0.000
8.864 3.754 0.000
-1.953 0.000 6.489
Sr Pb N
8 2 2
direct
0.112 0.648 0.473
0.199 0.199 0.150
0.234 0.766 0.000
0.352 0.888 0.527
0.648 0.112 0.473
0.766 0.234 0.000
0.801 0.801 0.850
0.888 0.352 0.527
0.302 0.302 0.780
0.698 0.698 0.220
0.075 0.075 0.256
0.925 0.925 0.744
```